VASP calculation (PBE) on a geometry-optimized Nd4Al3Ge structure.

## Properties
Final energy in eV per atom: -4.868
Energy of formation in eV per atom: -0.503

a = 4.543 Å, b = 4.159 Å, c = 11.502 Å
α = 90.00°, β = 90.00°, γ = 90.00°
Fractional positions:
Al 0.500 0.000 0.934
Al 0.000 0.000 0.426
Al 0.000 0.500 0.569
Nd 0.500 0.500 0.355
Nd 0.000 0.000 0.139
Nd 0.000 0.500 0.860
Nd 0.500 0.000 0.643
Ge 0.500 0.500 0.074

=====

VASP calculation (PBE) on a geometry-optimized V2TcP2 structure.

## Properties
Final energy in eV per atom: -8.472
Energy of formation in eV per atom: -0.587

a = 6.372 Å, b = 6.372 Å, c = 3.173 Å
α = 90.00°, β = 90.00°, γ = 90.00°
Fractional positions:
P 0.644 0.144 0.000
P 0.356 0.856 0.000
P 0.144 0.356 0.000
P 0.856 0.644 0.000
Tc 0.000 0.000 0.000
Tc 0.500 0.500 0.000
V 0.649 0.851 0.500
V 0.851 0.351 0.500
V 0.351 0.149 0.500
V 0.149 0.649 0.500

=====

VASP calculation (PBE) on a geometry-optimized Pr3Nd3Ag4 structure.

## Properties
Final energy in eV per atom: -4.178
Energy of formation in eV per atom: -0.173

a = 3.902 Å, b = 8.626 Å, c = 8.626 Å
α = 89.72°, β = 90.00°, γ = 90.00°
Fractional positions:
Ag 0.000 0.375 0.625
Ag 0.000 0.124 0.122
Ag 0.000 0.623 0.377
Ag 0.000 0.878 0.876
Nd 0.000 0.499 0.000
Nd 0.000 0.000 0.501
Nd 0.500 0.170 0.830
Pr 0.500 0.330 0.331
Pr 0.500 0.669 0.670
Pr 0.500 0.831 0.169

=====

VASP calculation (PBE) on a geometry-optimized NaLa2GeO5 structure.

## Properties
Final energy in eV per atom: -6.840
Energy relative to the elements, uncorrected in eV per atom: -2.331

a = 5.888 Å, b = 6.936 Å, c = 6.936 Å
α = 90.00°, β = 90.00°, γ = 90.00°
Fractional positions:
Ge 0.000 0.500 0.000
Ge 0.000 0.000 0.500
O 0.760 0.135 0.635
O 0.240 0.635 0.865
O 0.500 0.000 0.000
O 0.500 0.500 0.500
O 0.760 0.365 0.135
O 0.760 0.635 0.865
O 0.240 0.865 0.365
O 0.240 0.135 0.635
O 0.240 0.365 0.135
O 0.760 0.865 0.365
La 0.500 0.320 0.820
La 0.500 0.180 0.320
La 0.500 0.680 0.180
La 0.500 0.820 0.680
Na 0.000 0.000 0.000
Na 0.000 0.500 0.500

=====

VASP calculation (PBE) on a geometry-optimized Mg3Tc5 structure.

## Properties
Final energy in eV per atom: -6.839
Energy above the most stable polymorph in this dataset in kcal/mol of atoms: 0.000
Energy of formation in eV per atom: 0.237

a = 6.291 Å, b = 6.291 Å, c = 3.137 Å
α = 90.00°, β = 90.00°, γ = 91.70°
Fractional positions:
Mg 0.245 0.245 0.500
Mg 0.755 0.755 0.500
Mg 0.500 0.500 0.000
Tc 0.000 0.000 0.000
Tc 0.000 0.500 0.000
Tc 0.500 0.000 0.000
Tc 0.236 0.764 0.500
Tc 0.764 0.236 0.500

=====

VASP calculation (PBE) on a geometry-optimized MgZrCo2P structure.

## Properties
Final energy in eV per atom: -4.454
Energy of formation in eV per atom: 1.499

a = 4.457 Å, b = 5.507 Å, c = 4.457 Å
α = 90.00°, β = 90.00°, γ = 90.00°
Fractional positions:
Mg 0.000 0.500 0.000
Zr 0.000 0.000 0.000
Co 0.500 0.000 0.000
Co 0.000 0.000 0.500
P 0.500 0.500 0.500

=====

VASP calculation (PBE) on a geometry-optimized HfSbI2O structure.

## Properties
Final energy in eV per atom: -5.209
Energy above the most stable polymorph in this dataset in kcal/mol of atoms: 0.000
Energy relative to the elements, uncorrected in eV per atom: -0.782

a = 5.903 Å, b = 5.903 Å, c = 3.942 Å
α = 90.00°, β = 90.00°, γ = 90.00°
Fractional positions:
Sb 0.500 0.500 0.500
Hf 0.000 0.000 0.000
O 0.000 0.000 0.500
I 0.000 0.500 0.000
I 0.500 0.000 0.000

=====

VASP calculation (PBE) on a geometry-optimized ScSiPb2 structure.

## Properties
Final energy in eV per atom: -4.743
Energy relative to the elements, uncorrected in eV per atom: 0.050

a = 5.903 Å, b = 5.903 Å, c = 5.903 Å
α = 136.55°, β = 136.55°, γ = 63.13°
Fractional positions:
Si 0.750 0.250 0.500
Pb 0.250 0.750 0.500
Pb 0.000 0.000 0.000
Sc 0.500 0.500 0.000

=====

Please write out number 7 again, unchanged.
VASP calculation (PBE) on a geometry-optimized HfSbI2O structure.

## Properties
Final energy in eV per atom: -5.209
Energy above the most stable polymorph in this dataset in kcal/mol of atoms: 0.000
Energy relative to the elements, uncorrected in eV per atom: -0.782

a = 5.903 Å, b = 5.903 Å, c = 3.942 Å
α = 90.00°, β = 90.00°, γ = 90.00°
Fractional positions:
Sb 0.500 0.500 0.500
Hf 0.000 0.000 0.000
O 0.000 0.000 0.500
I 0.000 0.500 0.000
I 0.500 0.000 0.000

=====

What did the eighth record say?
VASP calculation (PBE) on a geometry-optimized ScSiPb2 structure.

## Properties
Final energy in eV per atom: -4.743
Energy relative to the elements, uncorrected in eV per atom: 0.050

a = 5.903 Å, b = 5.903 Å, c = 5.903 Å
α = 136.55°, β = 136.55°, γ = 63.13°
Fractional positions:
Si 0.750 0.250 0.500
Pb 0.250 0.750 0.500
Pb 0.000 0.000 0.000
Sc 0.500 0.500 0.000